1.
Here is crystalline Si2NiSb at its relaxed geometry from the Alexandria database. Energies are from PBE-GGA.

```
Si2NiSb
1.0
4.066 -0.017 0.051
2.547 3.170 0.051
1.833 0.874 5.467
Sb Ni Si
1 1 2
Direct
0.269 0.269 0.310
0.496 0.496 0.576
0.984 0.984 0.903
0.751 0.751 0.712
```

Values from the calculation:
As for the total energy: -5.13 eV/atom. The space-group type is No. 8. The value obtained for the volume is 70.3 Å³ per cell. Its raw formation energy is 1.29 kcal/mol of atoms.

---

2.
Here is crystalline SiNi2Sb at its relaxed geometry from the Alexandria database. Energies are from PBE-GGA.

```
SiNi2Sb
1.0
-0.965 3.960 -0.728
-1.345 -1.022 -3.780
-8.152 0.280 0.558
Sb Ni Si
2 4 2
Direct
0.750 0.250 0.500
0.000 0.000 0.000
0.570 0.125 0.250
0.875 0.820 0.750
0.375 0.430 0.750
0.180 0.625 0.250
0.250 0.750 0.500
0.500 0.500 0.000
```

Values from the calculation:
As for the total energy: -5.29 eV/atom. Its offset from the most stable computed form is 214 meV/atom. The space-group type is No. 122. The value obtained for the volume is 130.9 Å³ per cell. Its raw formation energy is -0.37 kcal/mol of atoms.

---

3.
Here is crystalline Si2NiSb at its relaxed geometry from the Alexandria database. Energies are from PBE-GGA.

```
Si2NiSb
1.0
5.750 -0.014 -0.032
3.263 4.734 0.032
-4.001 -3.325 2.449
Si Sb Ni
2 1 1
Direct
0.950 0.950 0.000
0.550 0.550 0.000
0.250 0.750 0.500
0.750 0.250 0.500
```

Values from the calculation:
As for the total energy: -4.87 eV/atom. The space-group type is No. 71. The value obtained for the volume is 67.1 Å³ per cell. Its raw formation energy is 7.22 kcal/mol of atoms.

---

4.
Here is crystalline SiNi2Sb at its relaxed geometry from the Alexandria database. Energies are from PBE-GGA.

```
SiNi2Sb
1.0
4.912 0.021 0.000
2.050 4.464 0.000
-3.481 -2.242 2.642
Si Ni Sb
1 2 1
Direct
0.750 0.250 0.500
0.250 0.750 0.500
0.000 0.000 0.000
0.500 0.500 0.000
```

Values from the calculation:
As for the total energy: -5.18 eV/atom. Its offset from the most stable computed form is 324 meV/atom. The space-group type is No. 119. The value obtained for the volume is 57.8 Å³ per cell. Its raw formation energy is 2.15 kcal/mol of atoms.

---

5.
Here is crystalline Si2NiSb at its relaxed geometry from the Alexandria database. Energies are from PBE-GGA.

```
Si2NiSb
1.0
-2.999 -0.692 0.456
0.213 -2.296 -2.085
1.824 -4.505 5.146
Sb Ni Si
1 1 2
Direct
0.500 0.500 0.695
0.000 0.000 0.441
0.000 0.000 0.088
0.500 0.500 0.275
```

Values from the calculation:
As for the total energy: -5.03 eV/atom. The space-group type is No. 99. The value obtained for the volume is 68.5 Å³ per cell. Its raw formation energy is 3.72 kcal/mol of atoms.

---

6.
Here is crystalline SiNi2Sb at its relaxed geometry from the Alexandria database. Energies are from PBE-GGA.

```
SiNi2Sb
1.0
2.784 1.023 3.177
-0.805 3.402 2.583
-1.111 -0.640 4.153
Si Ni Sb
1 2 1
Direct
0.000 0.000 0.000
0.750 0.750 0.750
0.250 0.250 0.250
0.500 0.500 0.500
```

Values from the calculation:
As for the total energy: -5.20 eV/atom. Its offset from the most stable computed form is 307 meV/atom. The space-group type is No. 225. The value obtained for the volume is 58.1 Å³ per cell. Its raw formation energy is 1.77 kcal/mol of atoms.

---

7.
Here is crystalline SiNiSb2 at its relaxed geometry from the Alexandria database. Energies are from PBE-GGA.

```
SiNiSb2
1.0
-0.793 1.884 2.333
-0.109 -3.915 3.125
4.843 0.717 1.066
Sb Ni Si
2 1 1
Direct
0.000 0.000 0.000
0.000 0.500 0.500
0.500 0.000 0.500
0.500 0.500 0.000
```

Values from the calculation:
As for the total energy: -4.43 eV/atom. The space-group type is No. 123. The value obtained for the volume is 77.9 Å³ per cell. Its raw formation energy is 9.89 kcal/mol of atoms.

---

8.
Here is crystalline SiNi2Sb at its relaxed geometry from the Alexandria database. Energies are from PBE-GGA.

```
SiNi2Sb
1.0
-1.225 -2.425 -7.005
1.847 -2.136 -6.963
0.523 -4.690 -5.847
Ni Si Sb
2 1 1
Direct
0.010 0.010 0.010
0.490 0.490 0.490
0.750 0.750 0.750
0.250 0.250 0.250
```

Values from the calculation:
As for the total energy: -5.27 eV/atom. Its offset from the most stable computed form is 241 meV/atom. The space-group type is No. 166. The value obtained for the volume is 60.2 Å³ per cell. Its raw formation energy is 0.25 kcal/mol of atoms.